# KBaScBr6

An optimized crystal structure of KBaScBr6 (PBE, Alexandria via LeMat-Bulk).

Summary:
Formation energy from raw total energies = -1.87 eV/atom
Volume = 713.2 Å³/cell

```
data_KBaScBr6
_chemical_formula_sum 'K2 Ba2 Sc2 Br12'
_cell_length_a 7.8350
_cell_length_b 7.8350
_cell_length_c 13.4149
_cell_angle_alpha 90.00
_cell_angle_beta 90.00
_cell_angle_gamma 120.00
_space_group_name_H-M_alt 'P -3 1 c'
_space_group_IT_number 163
_space_group_name_Hall '-P 3 2c'
loop_
_atom_site_label
_atom_site_type_symbol
_atom_site_fract_x
_atom_site_fract_y
_atom_site_fract_z
_atom_site_occupancy
K1 K 0.0000 0.0000 0.0000 1
Ba1 Ba 0.3333 0.6667 0.2500 1
Sc1 Sc 0.3333 0.6667 0.7500 1
Br1 Br 0.0542 0.3899 0.6334 1
```